1.
A plane-wave DFT calculation with PBE-GGA was carried out for a relaxed Sc2Nb2Al crystal.

a = 7.131 Å, b = 7.131 Å, c = 4.026 Å
α = 90.00°, β = 90.00°, γ = 90.00°
Fractional coordinates of all 10 atoms:
Sc 0.167 0.333 0.000
Sc 0.333 0.833 0.000
Sc 0.667 0.167 0.000
Sc 0.833 0.667 0.000
Nb 0.134 0.634 0.500
Nb 0.366 0.134 0.500
Nb 0.634 0.866 0.500
Nb 0.866 0.366 0.500
Al 0.000 0.000 0.500
Al 0.500 0.500 0.500

- Energy of formation from the pure elements: 4 kJ/mol of atoms
- Electronic total energy: -0.53415 Ry/atom
- Space group: No. 127
- Total magnetic moment: 0.0 μB/f.u.

2.
A plane-wave DFT calculation with PBE-GGA was carried out for a relaxed Sc3NbAl crystal.

a = 5.014 Å, b = 5.014 Å, c = 5.014 Å
α = 90.00°, β = 90.00°, γ = 90.00°
Fractional coordinates of all 5 atoms:
Sc 0.000 0.000 0.500
Sc 0.000 0.500 0.000
Sc 0.500 0.000 0.000
Nb 0.500 0.500 0.500
Al 0.000 0.000 0.000

- Energy of formation from the pure elements: 80 kJ/mol of atoms
- Electronic total energy: -0.42095 Ry/atom
- Space group: No. 221
- Total magnetic moment: 0.0 μB/f.u.

3.
A plane-wave DFT calculation with PBE-GGA was carried out for a relaxed ScNb2Al crystal.

a = 6.018 Å, b = 6.018 Å, c = 6.018 Å
α = 102.01°, β = 102.01°, γ = 125.73°
Fractional coordinates of all 8 atoms:
Sc 0.000 0.000 0.000
Sc 0.750 0.250 0.500
Nb 0.149 0.625 0.024
Nb 0.375 0.399 0.524
Nb 0.601 0.125 0.976
Nb 0.875 0.851 0.476
Al 0.250 0.750 0.500
Al 0.500 0.500 0.000

- Energy of formation from the pure elements: 34 kJ/mol of atoms
- Electronic total energy: -0.52893 Ry/atom
- Space group: No. 122
- Total magnetic moment: 0.0 μB/f.u.

4.
A plane-wave DFT calculation with PBE-GGA was carried out for a relaxed Sc2NbAl2 crystal.

a = 7.637 Å, b = 7.637 Å, c = 3.342 Å
α = 90.00°, β = 90.00°, γ = 90.00°
Fractional coordinates of all 10 atoms:
Sc 0.177 0.323 0.000
Sc 0.323 0.823 0.000
Sc 0.677 0.177 0.000
Sc 0.823 0.677 0.000
Nb 0.000 0.000 0.500
Nb 0.500 0.500 0.500
Al 0.124 0.624 0.500
Al 0.376 0.124 0.500
Al 0.624 0.876 0.500
Al 0.876 0.376 0.500

- Energy of formation from the pure elements: -18 kJ/mol of atoms
- Electronic total energy: -0.45818 Ry/atom
- Space group: No. 127
- Total magnetic moment: 0.0 μB/f.u.